1.
Th6Bi2Ir | PBE | relaxed

Computed properties:
The formation energy from the elements is -3.56 eV per formula unit.

a = 6.4943 Å, b = 8.2418 Å, c = 10.6913 Å
α = 90.00°, β = 92.06°, γ = 90.00°
Last column: nearest neighbours and their distance in Å.
Element x y z (fractional)
Th (0.1193, 0.0216, 0.7529)  1 Ir 2.79
Ir (0.0000, 0.0000, 0.5000)  6 Th 2.79-2.96
Th (0.6283, 0.1982, 0.5392)  1 Ir 2.96, 1 Bi 3.27
Bi (0.4021, 0.1073, 0.2541)  9 Th 3.27-3.56
Th (0.6193, 0.4784, 0.2529)  1 Ir 2.79
Th (0.8807, 0.9784, 0.2471)  1 Ir 2.79
Th (0.6401, 0.1764, 0.9637)  1 Ir 2.85
Ir (0.5000, 0.5000, 0.0000)  6 Th 2.79-2.96
Bi (0.5979, 0.8927, 0.7459)  9 Th 3.27-3.56
Th (0.3807, 0.5216, 0.7471)  1 Ir 2.79
Th (0.3717, 0.8018, 0.4608)  1 Ir 2.96, 1 Bi 3.27
Th (0.1283, 0.3018, 0.0392)  1 Ir 2.96, 1 Bi 3.27
Th (0.8599, 0.6764, 0.5363)  1 Ir 2.85
Bi (0.9021, 0.3927, 0.7541)  9 Th 3.27-3.56
Th (0.1401, 0.3236, 0.4637)  1 Ir 2.85
Th (0.3599, 0.8236, 0.0363)  1 Ir 2.85
Th (0.8717, 0.6982, 0.9608)  1 Ir 2.96, 1 Bi 3.27
Bi (0.0979, 0.6073, 0.2459)  9 Th 3.27-3.56

2.
Th5Bi3Ir | PBE | relaxed

Computed properties:
The formation energy from the elements is -6.05 eV per formula unit.

a = 6.6355 Å, b = 9.6827 Å, c = 9.6827 Å
α = 120.00°, β = 90.00°, γ = 90.00°
Last column: nearest neighbours and their distance in Å.
Element x y z (fractional)
Bi (0.2500, 0.3941, 0.3941)  9 Th 3.34-3.62
Ir (0.0000, 0.0000, 0.0000)  6 Th 2.89
Ir (0.5000, 0.0000, 0.0000)  6 Th 2.89
Bi (0.7500, 0.6059, 0.6059)  9 Th 3.34-3.62
Th (0.7500, 0.2446, 0.2446)  2 Ir 2.89
Bi (0.2500, 0.6059, 0.0000)  9 Th 3.34-3.62
Th (0.0000, 0.3333, 0.6667)  2 Th 3.32, 6 Bi 3.41
Th (0.5000, 0.3333, 0.6667)  2 Th 3.32, 6 Bi 3.41
Th (0.0000, 0.6667, 0.3333)  2 Th 3.32, 6 Bi 3.41
Bi (0.7500, 0.0000, 0.3941)  9 Th 3.34-3.62
Th (0.7500, 0.7554, 0.0000)  2 Ir 2.89
Th (0.2500, 0.7554, 0.7554)  2 Ir 2.89
Th (0.5000, 0.6667, 0.3333)  2 Th 3.32, 6 Bi 3.41
Bi (0.2500, 0.0000, 0.6059)  9 Th 3.34-3.62
Th (0.7500, 0.0000, 0.7554)  2 Ir 2.89
Th (0.2500, 0.2446, 0.0000)  2 Ir 2.89
Th (0.2500, 0.0000, 0.2446)  2 Ir 2.89
Bi (0.7500, 0.3941, 0.0000)  9 Th 3.34-3.62

3.
ThBi2Ir | PBE | relaxed

Computed properties:
The formation energy from the elements is 1.00 eV per formula unit.

a = 3.5879 Å, b = 3.5879 Å, c = 10.5734 Å
α = 80.23°, β = 80.23°, γ = 60.00°
Last column: nearest neighbours and their distance in Å.
Element x y z (fractional)
Th (0.0000, 0.0000, 0.0000)  2 Bi 3.34, 6 Th 3.59
Bi (0.8927, 0.8927, 0.3219)  3 Ir 2.78
Ir (0.5000, 0.5000, 0.5000)  6 Bi 2.78
Bi (0.1073, 0.1073, 0.6781)  3 Ir 2.78

What did the third record say?
ThBi2Ir | PBE | relaxed

Computed properties:
The formation energy from the elements is 1.00 eV per formula unit.

a = 3.5879 Å, b = 3.5879 Å, c = 10.5734 Å
α = 80.23°, β = 80.23°, γ = 60.00°
Last column: nearest neighbours and their distance in Å.
Element x y z (fractional)
Th (0.0000, 0.0000, 0.0000)  2 Bi 3.34, 6 Th 3.59
Bi (0.8927, 0.8927, 0.3219)  3 Ir 2.78
Ir (0.5000, 0.5000, 0.5000)  6 Bi 2.78
Bi (0.1073, 0.1073, 0.6781)  3 Ir 2.78

Among the records above, which one has the highest formation energy from the elements?
ThBi2Ir

Look up the formation energy from the elements of the second one.
-6.05 eV per formula unit